(1)
The following is a PBE-GGA calculation of a relaxed structure of KSbBr4, from the Alexandria database.

Lattice parameters (Å, degrees): 7.3719 8.5388 10.9056 119.41 116.95 72.88
With the nearest neighbours (Å) after each atom.
Sites, in units of the cell vectors:
1 Br 0.0641 0.8580 0.1187  2 Sb 2.84-3.08
2 Br 0.6346 0.9727 0.3422  1 Sb 2.69
3 Br 0.3654 0.0273 0.6578  1 Sb 2.69
4 K 0.4226 0.6726 0.3453  6 Br 3.33-3.39
5 Br 0.9359 0.1420 0.8813  2 Sb 2.84-3.08
6 Br 0.7924 0.6305 0.6578  1 Sb 2.69
7 K 0.5774 0.3274 0.6547  6 Br 3.33-3.39
8 Br 0.2076 0.3695 0.3422  1 Sb 2.69
9 Sb 0.6840 0.9340 0.8680  4 Br 2.69-2.84
10 Br 0.4454 0.7393 0.8813  2 Sb 2.84-3.08
11 Sb 0.3160 0.0660 0.1320  4 Br 2.69-2.84
12 Br 0.5546 0.2607 0.1187  2 Sb 2.84-3.08

## Properties
* space group: C2/c
* raw formation energy: -1006 meV per atom
* E above lowest polymorph: 0.000 eV per atom
* Fermi-level density of states: 0.00 states/eV/f.u.



(2)
The following is a PBE-GGA calculation of a relaxed structure of Sc5ZnCd4, from the Alexandria database.

Lattice parameters (Å, degrees): 3.4760 3.4760 17.7558 90.00 90.00 90.00
With the nearest neighbours (Å) after each atom.
Sites, in units of the cell vectors:
1 Sc 0.5000 0.5000 0.9103  4 Zn 2.93, 4 Cd 3.07, 1 Sc 3.19
2 Cd 0.0000 0.0000 0.8069  8 Sc 3.06-3.07, 1 Zn 3.43
3 Cd 0.0000 0.0000 0.6018  8 Sc 3.05-3.06
4 Cd 0.0000 0.0000 0.3982  8 Sc 3.05-3.06
5 Sc 0.5000 0.5000 0.0897  4 Zn 2.93, 4 Cd 3.07, 1 Sc 3.19
6 Cd 0.0000 0.0000 0.1931  8 Sc 3.06-3.07, 1 Zn 3.43
7 Sc 0.5000 0.5000 0.5000  8 Cd 3.05
8 Zn 0.0000 0.0000 0.0000  8 Sc 2.93
9 Sc 0.5000 0.5000 0.7041  8 Cd 3.06
10 Sc 0.5000 0.5000 0.2959  8 Cd 3.06

## Properties
* space group: P4/mmm
* energy of formation from the pure elements: -0.3048 eV per atom
* Fermi-level density of states: 10.18 states/eV/f.u.



(3)
The following is a PBE-GGA calculation of a relaxed structure of Tb2Pr7Ho3, from the Alexandria database.

Lattice parameters (Å, degrees): 4.7207 5.5693 16.5155 99.71 90.00 90.00
With the nearest neighbours (Å) after each atom.
Sites, in units of the cell vectors:
1 Pr 0.0000 0.0000 0.0000  8 Pr 3.50-3.89, 4 Ho 3.65
2 Pr 0.5000 0.9207 0.8414  6 Pr 3.50-3.65, 2 Tb 3.52, 4 Ho 3.79-3.80
3 Ho 0.5000 0.6583 0.3167  6 Pr 3.39-3.79, 4 Tb 3.65
4 Pr 0.5000 0.0793 0.1586  6 Pr 3.50-3.65, 2 Tb 3.52, 4 Ho 3.79-3.80
5 Pr 0.0000 0.2645 0.5291  2 Pr 2.94
6 Ho 0.5000 0.5000 0.0000  12 Pr 3.60-3.80
7 Pr 0.0000 0.5836 0.1673  4 Ho 3.39-3.60, 4 Pr 3.65, 2 Tb 3.72
8 Pr 0.0000 0.7355 0.4709  2 Pr 2.94
9 Tb 0.0000 0.1594 0.3189  7 Pr 3.42-3.73, 4 Ho 3.65
10 Tb 0.0000 0.8406 0.6811  7 Pr 3.42-3.73, 4 Ho 3.65
11 Ho 0.5000 0.3417 0.6833  6 Pr 3.39-3.79, 4 Tb 3.65
12 Pr 0.0000 0.4164 0.8327  4 Ho 3.39-3.60, 4 Pr 3.65, 2 Tb 3.72

## Properties
* space group: Cmmm
* energy of formation from the pure elements: 0.2543 eV per atom
* E above lowest polymorph: 0.185 eV per atom
* Fermi-level density of states: 17.74 states/eV/f.u.



(4)
The following is a PBE-GGA calculation of a relaxed structure of PmYGeCl, from the Alexandria database.

Lattice parameters (Å, degrees): 5.1066 5.1066 5.1066 60.00 60.00 60.00
With the nearest neighbours (Å) after each atom.
Sites, in units of the cell vectors:
1 Y 0.7500 0.7500 0.7500  4 Ge 3.13, 4 Cl 3.13
2 Cl 0.5000 0.5000 0.5000  4 Pm 3.13, 4 Y 3.13
3 Pm 0.2500 0.2500 0.2500  4 Ge 3.13, 4 Cl 3.13
4 Ge 0.0000 0.0000 0.0000  4 Pm 3.13, 4 Y 3.13

## Properties
* space group: F-43m
* raw formation energy: -1006 meV per atom
* E above lowest polymorph: 0.000 eV per atom
* Fermi-level density of states: 3.35 states/eV/f.u.



(5)
The following is a PBE-GGA calculation of a relaxed structure of Sm2MgBr, from the Alexandria database.

Lattice parameters (Å, degrees): 3.4974 3.4974 11.6590 81.37 81.37 60.00
With the nearest neighbours (Å) after each atom.
Sites, in units of the cell vectors:
1 Sm 0.9032 0.9032 0.2903  3 Br 3.14, 1 Mg 3.33, 6 Sm 3.50
2 Mg 0.0000 0.0000 0.0000  2 Sm 3.33, 6 Mg 3.50
3 Sm 0.0968 0.0968 0.7097  3 Br 3.14, 1 Mg 3.33, 6 Sm 3.50
4 Br 0.5000 0.5000 0.5000  6 Sm 3.14, 6 Br 3.50

## Properties
* space group: R-3m
* raw formation energy: -274 meV per atom
* E above lowest polymorph: 0.199 eV per atom
* Fermi-level density of states: 4.97 states/eV/f.u.